## Mg4Ge (GGA-PBE)

Data for Mg4Ge after structural relaxation.

Output
DFT formation energy	173	meV/atom
VASP energy	-10.13	eV per cell
theoretical density	2.10	g/cm3

Cell lengths 5.119, 5.119, 5.119 Å; angles 90.00, 90.00, 90.00 degrees
Space group Pm-3m (No. 221)
Symmetry-distinct sites (fractional):
Mg (0.000, 0.000, 0.000) [1 per cell]
Mg (0.000, 0.500, 0.500) [3 per cell]
Ge (0.500, 0.500, 0.500) [1 per cell]

=====

## Au2N2F (GGA-PBE)

Data for Au2N2F after structural relaxation.

Output
formation energy without anion corrections	1.359	eV/atom
excess energy over the best structure of this formula in the dataset	1.224	eV/f.u.
VASP energy	-36.57	eV per cell
theoretical density	12.01	g/cm3

Cell lengths 6.523, 6.523, 2.866 Å; angles 90.00, 90.00, 90.00 degrees
Space group P4/mbm (No. 127)
Symmetry-distinct sites (fractional):
Au (0.174, 0.326, 0.000) [4 per cell]
N (0.142, 0.642, 0.500) [4 per cell]
F (0.000, 0.000, 0.000) [2 per cell]

=====

## PuAl5 (GGA-PBE)

Data for PuAl5 after structural relaxation.

Output
DFT formation energy	-160	meV/atom
VASP energy	-68.01	eV per cell
theoretical density	5.71	g/cm3

Cell lengths 4.199, 12.197, 4.306 Å; angles 90.00, 90.00, 90.00 degrees
Space group Cmmm (No. 65)
Symmetry-distinct sites (fractional):
Pu (0.000, 0.000, 0.000) [2 per cell]
Al (0.000, 0.169, 0.500) [4 per cell]
Al (0.000, 0.322, 0.000) [4 per cell]
Al (0.000, 0.500, 0.500) [2 per cell]

=====

## Tm2Zn3CuNi12 (GGA-PBE)

Data for Tm2Zn3CuNi12 after structural relaxation.

Output
DFT formation energy	33	meV/atom
VASP energy	-256.93	eV per cell
theoretical density	8.62	g/cm3

Cell lengths 5.1321, 5.1321, 32.9952 Å; angles 90.00, 90.00, 120.00 degrees
Space group R-3m (No. 166, hexagonal axes)
Symmetry-distinct sites (fractional):
Tm (0.0000, 0.0000, 0.1414) [6 per cell]
Zn (0.0000, 0.5000, 0.0000) [9 per cell]
Cu (0.0000, 0.0000, 0.5000) [3 per cell]
Ni (0.0024, 0.5012, 0.1108) [18 per cell]
Ni (0.0227, 0.5113, 0.6107) [18 per cell]

=====

## PdSCl3 (GGA-PBE)

Data for PdSCl3 after structural relaxation.

Output
formation energy without anion corrections	0.291	eV/atom
excess energy over the best structure of this formula in the dataset	2.823	eV/f.u.
VASP energy	-13.40	eV per cell
theoretical density	3.53	g/cm3

Cell lengths 4.867, 4.867, 4.867 Å; angles 90.00, 90.00, 90.00 degrees
Space group Pm-3m (No. 221)
Symmetry-distinct sites (fractional):
Pd (0.000, 0.000, 0.000) [1 per cell]
S (0.500, 0.500, 0.500) [1 per cell]
Cl (0.000, 0.000, 0.500) [3 per cell]

=====

## Be2RuRh (GGA-PBE)

Data for Be2RuRh after structural relaxation.

Output
DFT formation energy	-408	meV/atom
VASP energy	-51.42	eV per cell
theoretical density	8.47	g/cm3

Cell lengths 3.945, 2.787, 7.918 Å; angles 90.00, 90.00, 90.00 degrees
Space group Pmma (No. 51)
Symmetry-distinct sites (fractional):
Be (0.250, 0.000, 0.136) [2 per cell]
Be (0.250, 0.000, 0.647) [2 per cell]
Ru (0.250, 0.500, 0.394) [2 per cell]
Rh (0.250, 0.500, 0.879) [2 per cell]

=====

## LaGaSCl2 (GGA-PBE)

Data for LaGaSCl2 after structural relaxation.

Output
formation energy without anion corrections	-0.984	eV/atom
excess energy over the best structure of this formula in the dataset	2.144	eV/f.u.
VASP energy	-20.69	eV per cell
theoretical density	4.24	g/cm3

Cell lengths 4.954, 4.954, 4.974 Å; angles 90.00, 90.00, 90.00 degrees
Space group P4/mmm (No. 123)
Symmetry-distinct sites (fractional):
La (0.000, 0.000, 0.000) [1 per cell]
Ga (0.500, 0.500, 0.500) [1 per cell]
S (0.500, 0.500, 0.000) [1 per cell]
Cl (0.000, 0.500, 0.500) [2 per cell]

=====

## Ca8InN4 (GGA-PBE)

Data for Ca8InN4 after structural relaxation.

Output
formation energy without anion corrections	-0.540	eV/atom
excess energy over the best structure of this formula in the dataset	2.403	eV/f.u.
VASP energy	-236.29	eV per cell
theoretical density	2.60	g/cm3

Cell lengths 10.789, 10.789, 10.789 Å; angles 90.00, 90.00, 90.00 degrees
Space group F-43m (No. 216)
Symmetry-distinct sites (fractional):
Ca (0.100, 0.100, 0.100) [16 per cell]
Ca (0.143, 0.143, 0.643) [16 per cell]
In (0.250, 0.250, 0.250) [4 per cell]
N (0.126, 0.126, 0.874) [16 per cell]

=====

## Hf2TlSb (GGA-PBE)

Data for Hf2TlSb after structural relaxation.

Output
formation energy without anion corrections	0.030	eV/atom
VASP energy	-105.10	eV per cell
theoretical density	12.64	g/cm3

Cell lengths 7.108, 7.108, 7.108 Å; angles 90.00, 90.00, 90.00 degrees
Space group Fm-3m (No. 225)
Symmetry-distinct sites (fractional):
Hf (0.250, 0.250, 0.250) [8 per cell]
Tl (0.000, 0.000, 0.000) [4 per cell]
Sb (0.000, 0.000, 0.500) [4 per cell]

=====

## Tb2CeTm (GGA-PBE)

Data for Tb2CeTm after structural relaxation.

Output
excess energy over the best structure of this formula in the dataset	0.462	eV/f.u.
DFT formation energy	171	meV/atom
VASP energy	-56.94	eV per cell
theoretical density	8.48	g/cm3

Cell lengths 3.4012, 3.4012, 36.7723 Å; angles 90.00, 90.00, 120.00 degrees
Space group R-3m (No. 166, hexagonal axes)
Symmetry-distinct sites (fractional):
Tb (0.0000, 0.0000, 0.0890) [6 per cell]
Ce (0.0000, 0.0000, 0.0000) [3 per cell]
Tm (0.0000, 0.0000, 0.5000) [3 per cell]

=====

## In2Au2Br (GGA-PBE)

Data for In2Au2Br after structural relaxation.

Output
formation energy without anion corrections	-0.171	eV/atom
excess energy over the best structure of this formula in the dataset	0.155	eV/f.u.
VASP energy	-29.12	eV per cell
theoretical density	9.84	g/cm3

Cell lengths 8.185, 8.185, 3.546 Å; angles 90.00, 90.00, 90.00 degrees
Space group P4/mbm (No. 127)
Symmetry-distinct sites (fractional):
In (0.179, 0.321, 0.000) [4 per cell]
Au (0.120, 0.620, 0.500) [4 per cell]
Br (0.000, 0.000, 0.500) [2 per cell]

=====

## Pm5Ga2Ge2 (GGA-PBE)

Data for Pm5Ga2Ge2 after structural relaxation.

Output
DFT formation energy	-511	meV/atom
VASP energy	-174.55	eV per cell
theoretical density	6.70	g/cm3

Cell lengths 16.735, 8.362, 7.152 Å; angles 90.00, 90.00, 90.00 degrees
Space group Ima2 (No. 46)
Symmetry-distinct sites (fractional):
Pm (0.058, 0.183, 0.000) [8 per cell]
Pm (0.151, 0.686, 0.826) [8 per cell]
Pm (0.250, 0.114, 0.660) [4 per cell]
Ga (0.000, 0.000, 0.339) [4 per cell]
Ga (0.250, 0.036, 0.075) [4 per cell]
Ge (0.076, 0.537, 0.164) [8 per cell]

=====

## Ac4CuPdI2 (GGA-PBE)

Data for Ac4CuPdI2 after structural relaxation.

Output
formation energy without anion corrections	-0.749	eV/atom
VASP energy	-34.82	eV per cell
theoretical density	7.41	g/cm3

Cell lengths 7.714, 4.542, 8.916 Å; angles 90.00, 107.12, 90.00 degrees
Space group P2/m (No. 10)
Symmetry-distinct sites (fractional):
Ac (0.232, 0.000, 0.191) [2 per cell]
Ac (0.266, 0.500, 0.810) [2 per cell]
Cu (0.500, 0.000, 0.000) [1 per cell]
Pd (0.000, 0.500, 0.000) [1 per cell]
I (0.000, 0.000, 0.500) [1 per cell]
I (0.500, 0.500, 0.500) [1 per cell]

=====

## Pm3SeN (GGA-PBE)

Data for Pm3SeN after structural relaxation.

Output
formation energy without anion corrections	-1.130	eV/atom
VASP energy	-126.84	eV per cell
theoretical density	6.77	g/cm3

Cell lengths 3.792, 19.288, 7.082 Å; angles 90.00, 90.00, 90.00 degrees
Space group Cmc2_1 (No. 36)
Symmetry-distinct sites (fractional):
Pm (0.000, 0.081, 0.000) [4 per cell]
Pm (0.000, 0.260, 0.624) [4 per cell]
Pm (0.000, 0.400, 0.914) [4 per cell]
Se (0.000, 0.340, 0.278) [4 per cell]
N (0.000, 0.159, 0.270) [4 per cell]

=====

## BaCd2Sn (GGA-PBE)

Data for BaCd2Sn after structural relaxation.

Output
DFT formation energy	-358	meV/atom
VASP energy	-18.38	eV per cell
theoretical density	6.16	g/cm3

Cell lengths 4.792, 4.792, 11.279 Å; angles 90.00, 90.00, 90.00 degrees
Space group P4/nmm (No. 129, origin choice 2)
Symmetry-distinct sites (fractional):
Ba (0.250, 0.250, 0.245) [2 per cell]
Cd (0.250, 0.250, 0.938) [2 per cell]
Cd (0.250, 0.750, 0.500) [2 per cell]
Sn (0.250, 0.250, 0.660) [2 per cell]

=====

## ZnNiAg (GGA-PBE)

Data for ZnNiAg after structural relaxation.

Output
excess energy over the best structure of this formula in the dataset	0.264	eV/f.u.
DFT formation energy	64	meV/atom
VASP energy	-38.85	eV per cell
theoretical density	8.91	g/cm3

Cell lengths 13.007, 2.775, 4.792 Å; angles 90.00, 90.00, 90.00 degrees
Space group Amm2 (No. 38)
Symmetry-distinct sites (fractional):
Zn (0.000, 0.000, 0.000) [2 per cell]
Zn (0.500, 0.000, 0.330) [2 per cell]
Ni (0.351, 0.000, 0.996) [4 per cell]
Ag (0.180, 0.000, 0.333) [4 per cell]

=====

## Cr2AgCl (GGA-PBE)

Data for Cr2AgCl after structural relaxation.

Output
formation energy without anion corrections	0.170	eV/atom
excess energy over the best structure of this formula in the dataset	0.000	eV/f.u.
VASP energy	-69.79	eV per cell
theoretical density	6.21	g/cm3

Cell lengths 3.0069, 3.0069, 25.3387 Å; angles 90.00, 90.00, 120.00 degrees
Space group R3m (No. 160, hexagonal axes)
Symmetry-distinct sites (fractional):
Cr (0.0000, 0.0000, 0.0000) [3 per cell]
Cr (0.0000, 0.0000, 0.2716) [3 per cell]
Ag (0.0000, 0.0000, 0.5151) [3 per cell]
Cl (0.0000, 0.0000, 0.7364) [3 per cell]

=====

## CaHfTeRh2 (GGA-PBE)

Data for CaHfTeRh2 after structural relaxation.

Output
formation energy without anion corrections	0.355	eV/atom
VASP energy	-28.02	eV per cell
theoretical density	7.19	g/cm3

Cell lengths 4.957, 4.957, 5.189 Å; angles 90.00, 90.00, 90.00 degrees
Space group P4/mmm (No. 123)
Symmetry-distinct sites (fractional):
Ca (0.000, 0.000, 0.000) [1 per cell]
Hf (0.500, 0.500, 0.000) [1 per cell]
Te (0.500, 0.500, 0.500) [1 per cell]
Rh (0.000, 0.500, 0.500) [2 per cell]

=====

## K3Cu (GGA-PBE)

Data for K3Cu after structural relaxation.

Output
DFT formation energy	408	meV/atom
VASP energy	-17.27	eV per cell
theoretical density	1.55	g/cm3

Cell lengths 12.1791, 12.1791, 4.5374 Å; angles 90.00, 90.00, 120.00 degrees
Space group R-3m (No. 166, hexagonal axes)
Symmetry-distinct sites (fractional):
K (0.0000, 0.5000, 0.0000) [9 per cell]
Cu (0.0000, 0.0000, 0.0000) [3 per cell]

=====

## La8OsPd3I4 (GGA-PBE)

Data for La8OsPd3I4 after structural relaxation.

Output
formation energy without anion corrections	-0.930	eV/atom
VASP energy	-261.94	eV per cell
theoretical density	6.66	g/cm3

Cell lengths 8.6097, 8.6097, 24.7981 Å; angles 90.00, 90.00, 120.00 degrees
Space group R-3m (No. 166, hexagonal axes)
Symmetry-distinct sites (fractional):
La (0.0000, 0.0000, 0.2295) [6 per cell]
La (0.0136, 0.5068, 0.2299) [18 per cell]
Os (0.0000, 0.0000, 0.5000) [3 per cell]
Pd (0.0000, 0.5000, 0.5000) [9 per cell]
I (0.0000, 0.0000, 0.0000) [3 per cell]
I (0.0000, 0.5000, 0.0000) [9 per cell]

=====

## Cs2UGeS6 (GGA-PBE)

Data for Cs2UGeS6 after structural relaxation.

Output
formation energy without anion corrections	-0.812	eV/atom
VASP energy	-151.50	eV per cell
theoretical density	4.81	g/cm3

Cell lengths 7.2139, 7.2139, 17.6669 Å; angles 90.00, 90.00, 120.00 degrees
Space group R3m (No. 160, hexagonal axes)
Symmetry-distinct sites (fractional):
Cs (0.0000, 0.0000, 0.0000) [3 per cell]
Cs (0.0000, 0.0000, 0.5000) [3 per cell]
U (0.0000, 0.0000, 0.2496) [3 per cell]
Ge (0.0000, 0.0000, 0.7493) [3 per cell]
S (0.0000, 0.5000, 0.0002) [9 per cell]
S (0.0010, 0.5005, 0.4999) [9 per cell]

=====

## ReTcRh (GGA-PBE)

Data for ReTcRh after structural relaxation.

Output
excess energy over the best structure of this formula in the dataset	1.094	eV/f.u.
DFT formation energy	275	meV/atom
VASP energy	-58.68	eV per cell
theoretical density	14.38	g/cm3

Cell lengths 3.256, 3.256, 8.431 Å; angles 90.00, 90.00, 90.00 degrees
Space group I4mm (No. 107)
Symmetry-distinct sites (fractional):
Re (0.000, 0.000, 0.000) [2 per cell]
Tc (0.000, 0.000, 0.347) [2 per cell]
Rh (0.000, 0.000, 0.671) [2 per cell]

=====

## SrCa2Au2 (GGA-PBE)

Data for SrCa2Au2 after structural relaxation.

Output
excess energy over the best structure of this formula in the dataset	0.038	eV/f.u.
DFT formation energy	-656	meV/atom
VASP energy	-62.07	eV per cell
theoretical density	5.98	g/cm3

Cell lengths 4.254, 14.586, 10.052 Å; angles 90.00, 90.00, 90.00 degrees
Space group Cmc2_1 (No. 36)
Symmetry-distinct sites (fractional):
Sr (0.000, 0.110, 0.000) [4 per cell]
Ca (0.000, 0.175, 0.631) [4 per cell]
Ca (0.000, 0.394, 0.843) [4 per cell]
Au (0.000, 0.254, 0.335) [4 per cell]
Au (0.000, 0.469, 0.124) [4 per cell]

=====

## SmThInTc (GGA-PBE)

Data for SmThInTc after structural relaxation.

Output
DFT formation energy	-49	meV/atom
VASP energy	-101.76	eV per cell
theoretical density	9.79	g/cm3

Cell lengths 7.391, 7.391, 7.391 Å; angles 90.00, 90.00, 90.00 degrees
Space group F-43m (No. 216)
Symmetry-distinct sites (fractional):
Sm (0.000, 0.000, 0.000) [4 per cell]
Th (0.000, 0.000, 0.500) [4 per cell]
In (0.250, 0.250, 0.250) [4 per cell]
Tc (0.250, 0.250, 0.750) [4 per cell]

=====

## TlSbSeCl2 (GGA-PBE)

Data for TlSbSeCl2 after structural relaxation.

Output
formation energy without anion corrections	-0.559	eV/atom
VASP energy	-16.46	eV per cell
theoretical density	4.99	g/cm3

Cell lengths 5.390, 5.390, 5.452 Å; angles 90.00, 90.00, 90.00 degrees
Space group P4/mmm (No. 123)
Symmetry-distinct sites (fractional):
Tl (0.000, 0.000, 0.000) [1 per cell]
Sb (0.500, 0.500, 0.500) [1 per cell]
Se (0.500, 0.500, 0.000) [1 per cell]
Cl (0.000, 0.500, 0.500) [2 per cell]